VASP calculation (GGA-PBE) on a geometry-optimized Ba2NaSr2 structure.

Cell and atoms, written as POSCAR:
```
Ba2NaSr2
1.0
-2.668 2.668 10.848
2.668 -2.668 10.848
2.668 2.668 -10.848
Ba Na Sr
2 1 2
direct
0.250 0.750 0.500 Ba
0.750 0.250 0.500 Ba
0.000 0.000 0.000 Na
0.406 0.406 0.000 Sr
0.594 0.594 0.000 Sr
```

Summary:
ΔE to the lowest computed polymorph, meV/atom: 266
M_tot, μB/f.u.: 0.00
Uncorrected energy, Ry per atom: -0.1049
Space-group type: No. 139
Calculated volume, A^3/atom: 61.8